An optimized crystal structure of Pm6Sm2DyY. Source: the Alexandria database, functional GGA-PBE.

**M_tot**: 0.00 μB/f.u.
**Energy of formation**: 0.113 eV per atom
**Total DFT energy (no corrections)**: -4.7874 eV per atom

Cell: 9.1906 15.4168 9.7379 Å, 90.00 97.86 90.00°
Last column: nearest neighbours and their distance in Å.
Space group C2/c (No. 15)
Asymmetric unit:
Pm1 0.0599 0.1836 0.4454  7 Pm 3.45-3.81, 1 Sm 3.50, 1 Y 3.71
Pm2 0.1044 0.3939 0.6189  3 Sm 3.29-3.48, 4 Pm 3.30-3.65, 2 Dy 3.48-3.60
Pm3 0.2063 0.2231 0.8117  4 Pm 3.30-3.69, 1 Sm 3.46, 1 Dy 3.50, 1 Y 3.63
Sm1 0.2492 0.0521 0.0432  5 Pm 3.29-3.50, 2 Y 3.44-3.45, 1 Dy 3.60
Dy1 0.0000 0.4092 0.2500  6 Pm 3.48-3.60, 2 Sm 3.60
Y1 0.0000 0.0230 0.7500  4 Sm 3.44-3.45, 4 Pm 3.63-3.71